(1)
Below is a geometry-optimized PmTi2GeO8 structure, with properties calculated at the PBE level.

a b c (Å): 4.833 4.833 6.662
angles (deg): 95.14 95.14 81.20
Fractional coordinates of all 12 atoms:
Pm: 0.000 0.000 0.000
Ti: 0.440 0.440 0.763
Ti: 0.560 0.560 0.237
Ge: 0.000 0.000 0.500
O: 0.208 0.784 0.709
O: 0.216 0.792 0.291
O: 0.256 0.256 0.548
O: 0.325 0.325 0.992
O: 0.675 0.675 0.008
O: 0.744 0.744 0.452
O: 0.784 0.208 0.709
O: 0.792 0.216 0.291

Calculated values
Uncorrected formation energy   -29.8 eV per formula unit
Total magnetization   1.01 μB/cell
Density of states at the Fermi level   3.94 states/eV/f.u.


(2)
Below is a geometry-optimized PmTiGe2O8 structure, with properties calculated at the PBE level.

a b c (Å): 5.811 5.811 5.811
angles (deg): 107.69 107.69 113.10
Fractional coordinates of all 12 atoms:
Pm: 0.000 0.000 0.000
Ti: 0.750 0.250 0.500
Ge: 0.250 0.750 0.500
Ge: 0.500 0.500 0.000
O: 0.047 0.375 0.328
O: 0.047 0.719 0.672
O: 0.120 0.321 0.799
O: 0.281 0.953 0.328
O: 0.522 0.321 0.201
O: 0.625 0.953 0.672
O: 0.679 0.478 0.799
O: 0.679 0.880 0.201

Calculated values
Uncorrected formation energy   -24.9 eV per formula unit
Total magnetization   0.00 μB/cell
Density of states at the Fermi level   9.22 states/eV/f.u.


(3)
Below is a geometry-optimized Pm3Tl3GeO8 structure, with properties calculated at the PBE level.

a b c (Å): 7.688 7.688 7.688
angles (deg): 53.94 53.94 53.94
Fractional coordinates of all 15 atoms:
Pm: 0.000 0.500 0.500
Pm: 0.500 0.000 0.500
Pm: 0.500 0.500 0.000
Tl: 0.000 0.000 0.500
Tl: 0.000 0.500 0.000
Tl: 0.500 0.000 0.000
Ge: 0.000 0.000 0.000
O: 0.196 0.196 0.769
O: 0.196 0.769 0.196
O: 0.231 0.804 0.804
O: 0.276 0.276 0.276
O: 0.724 0.724 0.724
O: 0.769 0.196 0.196
O: 0.804 0.231 0.804
O: 0.804 0.804 0.231

Calculated values
Uncorrected formation energy   -30.8 eV per formula unit
Total magnetization   0.00 μB/cell


(4)
Below is a geometry-optimized PmTl2Ge2O6 structure, with properties calculated at the PBE level.

a b c (Å): 6.140 6.140 7.204
angles (deg): 117.92 117.92 60.45
Fractional coordinates of all 11 atoms:
Pm: 0.000 0.000 0.000
Tl: 0.208 0.208 0.668
Tl: 0.792 0.792 0.332
Ge: 0.452 0.452 0.286
Ge: 0.548 0.548 0.714
O: 0.231 0.700 0.741
O: 0.258 0.258 0.153
O: 0.300 0.769 0.259
O: 0.700 0.231 0.741
O: 0.742 0.742 0.847
O: 0.769 0.300 0.259

Calculated values
Uncorrected formation energy   -18.2 eV per formula unit
Total magnetization   0.92 μB/cell
Density of states at the Fermi level   1.70 states/eV/f.u.


(5)
Below is a geometry-optimized Pm2Tl2GeO6 structure, with properties calculated at the PBE level.

a b c (Å): 5.897 5.897 6.724
angles (deg): 97.09 97.09 119.29
Fractional coordinates of all 11 atoms:
Pm: 0.166 0.834 0.000
Pm: 0.834 0.166 0.000
Tl: 0.339 0.661 0.500
Tl: 0.661 0.339 0.500
Ge: 0.500 0.500 0.000
O: 0.169 0.454 0.844
O: 0.272 0.272 0.174
O: 0.454 0.169 0.844
O: 0.546 0.831 0.156
O: 0.728 0.728 0.826
O: 0.831 0.546 0.156

Calculated values
Uncorrected formation energy   -22.1 eV per formula unit
Total magnetization   0.00 μB/cell
Density of states at the Fermi level   0.00 states/eV/f.u.


(6)
Below is a geometry-optimized Pm2Tm4Ge3O2 structure, with properties calculated at the PBE level.

a b c (Å): 12.339 12.339 12.339
angles (deg): 158.99 158.99 29.89
Fractional coordinates of all 11 atoms:
Pm: 0.198 0.198 0.000
Pm: 0.802 0.802 0.000
Tm: 0.080 0.580 0.500
Tm: 0.420 0.920 0.500
Tm: 0.580 0.080 0.500
Tm: 0.920 0.420 0.500
Ge: 0.329 0.329 0.000
Ge: 0.500 0.500 0.000
Ge: 0.671 0.671 0.000
O: 0.090 0.090 0.000
O: 0.910 0.910 0.000

Calculated values
Uncorrected formation energy   -17.7 eV per formula unit
Total magnetization   0.00 μB/cell
Density of states at the Fermi level   8.01 states/eV/f.u.